ScCrFe: optimized geometry, PBE.

Its calculated total energy is -7.871 eV/atom. For the excess energy over the best structure of this formula in the dataset, the calculation gives 1.08 eV/f.u. As for the density of states at the Fermi level: 2.81 states/eV/cell. The total moment is 0.48 μB per cell.

The structure belongs to space group P3m1 (No. 156); the cell edges are 4.0939, 4.0939 and 2.9995 Å and the angles 90.00°, 90.00° and 120.00°. Symmetry generates all atoms from Sc at (0.0000, 0.0000, 0.0000), Cr at (0.3333, 0.6667, 0.4312) and Fe at (0.6667, 0.3333, 0.5857).

Bi2Pd3Pb2: optimized geometry, PBE.

Its calculated total energy is -4.617 eV/atom. For the excess energy over the best structure of this formula in the dataset, the calculation gives 0.00 eV/f.u. As for the density of states at the Fermi level: 5.41 states/eV/cell. The total moment is 0.00 μB per cell.

The structure belongs to space group P2_1/c (No. 14); the cell edges are 7.220, 7.340 and 7.122 Å and the angles 90.00°, 113.34° and 90.00°. Symmetry generates all atoms from Bi at (0.128, 0.173, 0.316), Pd at (0.222, 0.510, 0.198), Pd at (0.500, 0.000, 0.500) and Pb at (0.367, 0.653, 0.604).

LiScPa2S6: optimized geometry, PBE.

Its calculated total energy is -6.790 eV/atom. As for the density of states at the Fermi level: 25.11 states/eV/cell. As for the uncorrected formation energy: -1.5903 eV per atom. The total moment is 6.27 μB per cell.

The structure belongs to space group R3 (No. 146, hexagonal axes); the cell edges are 6.7021, 6.7021 and 18.2878 Å and the angles 90.00°, 90.00° and 120.00°. Symmetry generates all atoms from Li at (0.0000, 0.0000, 0.0000), Sc at (0.0000, 0.0000, 0.4865), Pa at (0.0000, 0.0000, 0.2978), Pa at (0.0000, 0.0000, 0.8029), S at (0.0024, 0.6971, 0.3961) and S at (0.0306, 0.3429, 0.5623).

Pm2MoH8: optimized geometry, PBE.

Its calculated total energy is -4.603 eV/atom. As for the density of states at the Fermi level: 1.45 states/eV/cell. The total moment is 0.00 μB per cell.

The structure belongs to space group C2/m (No. 12); the cell edges are 9.187, 3.576 and 7.088 Å and the angles 90.00°, 100.47° and 90.00°. Symmetry generates all atoms from Pm at (0.246, 0.000, 0.257), Mo at (0.000, 0.500, 0.000), H at (0.044, 0.500, 0.268), H at (0.075, 0.000, 0.928), H at (0.182, 0.000, 0.556) and H at (0.199, 0.500, 0.053).

SrThN: optimized geometry, PBE.

Its calculated total energy is -6.154 eV/atom. As for the density of states at the Fermi level: 12.33 states/eV/cell. As for the uncorrected formation energy: -0.3447 eV per atom. The total moment is 1.07 μB per cell.

The structure belongs to space group Amm2 (No. 38); the cell edges are 13.832, 3.561 and 6.171 Å and the angles 90.00°, 90.00° and 90.00°. Symmetry generates all atoms from Sr at (0.107, 0.000, 0.000), Th at (0.383, 0.000, 0.328), N at (0.000, 0.000, 0.333) and N at (0.500, 0.000, 0.994).

CsRb2HfCl6: optimized geometry, PBE.

Its calculated total energy is -4.153 eV/atom. For the excess energy over the best structure of this formula in the dataset, the calculation gives 0.46 eV/f.u. As for the density of states at the Fermi level: 34.86 states/eV/cell. As for the uncorrected formation energy: -1.7711 eV per atom. The total moment is 3.97 μB per cell.

The structure belongs to space group Fm-3m (No. 225); the cell edges are 11.533, 11.533 and 11.533 Å and the angles 90.00°, 90.00° and 90.00°. Symmetry generates all atoms from Cs at (0.000, 0.000, 0.000), Rb at (0.250, 0.250, 0.250), Hf at (0.000, 0.000, 0.500) and Cl at (0.000, 0.000, 0.282).

YRu2Au: optimized geometry, PBE.

Its calculated total energy is -7.080 eV/atom. For the excess energy over the best structure of this formula in the dataset, the calculation gives 0.16 eV/f.u. As for the density of states at the Fermi level: 4.57 states/eV/cell. The total moment is 0.00 μB per cell.

The structure belongs to space group P4mm (No. 99); the cell edges are 3.257, 3.257 and 6.970 Å and the angles 90.00°, 90.00° and 90.00°. Symmetry generates all atoms from Y at (0.000, 0.000, 0.000), Ru at (0.000, 0.000, 0.547), Ru at (0.500, 0.500, 0.709) and Au at (0.500, 0.500, 0.286).

Tc2MoPt: optimized geometry, PBE.

Its calculated total energy is -9.356 eV/atom. For the excess energy over the best structure of this formula in the dataset, the calculation gives 0.85 eV/f.u. As for the density of states at the Fermi level: 11.66 states/eV/cell. The total moment is 0.00 μB per cell.

The structure belongs to space group R-3m (No. 166, hexagonal axes); the cell edges are 2.7699, 2.7699 and 27.3542 Å and the angles 90.00°, 90.00° and 120.00°. Symmetry generates all atoms from Tc at (0.0000, 0.0000, 0.2489), Mo at (0.0000, 0.0000, 0.5000) and Pt at (0.0000, 0.0000, 0.0000).